Record 1
## V7CrGa3 (PBE)

Data for V7CrGa3 after structural relaxation.

Values from the calculation:
Its calculated density is 6.547 g/cm3. The formation energy is 12.8 kJ/mol of atoms. The value obtained for the total energy is -162.16 eV/cell.

Structure (POSCAR):
```
V7CrGa3
1.0
2.722 0.000 0.000
-1.361 10.152 0.000
0.000 0.000 11.341
Ga V Cr
6 14 2
Cartesian
0.000 3.453 8.505 Ga
1.361 7.184 10.789 Ga
0.000 2.969 5.118 Ga
1.361 7.184 6.222 Ga
0.000 2.969 0.552 Ga
1.361 6.699 2.835 Ga
1.361 1.555 7.216 V
0.000 5.481 4.660 V
1.361 0.822 4.736 V
0.000 8.597 4.124 V
1.361 4.672 10.330 V
1.361 3.801 2.835 V
0.000 5.481 1.011 V
0.000 8.597 1.546 V
1.361 1.555 9.794 V
0.000 9.331 6.605 V
0.000 9.331 10.406 V
1.361 0.822 0.934 V
1.361 4.672 6.681 V
0.000 6.351 8.505 V
0.000 0.803 2.835 Cr
1.361 9.349 8.505 Cr
```

Record 2
## Er7Tm2Mg (PBE)

Data for Er7Tm2Mg after structural relaxation.

Values from the calculation:
Its calculated density is 6.875 g/cm3. The formation energy is 66.7 kJ/mol of atoms. The value obtained for the total energy is -35.56 eV/cell.

Structure (POSCAR):
```
Er7Tm2Mg
1.0
5.312 0.000 0.000
0.000 9.145 -0.563
0.000 -4.628 7.908
Er Tm Mg
7 2 1
Cartesian
2.656 2.225 6.954 Er
2.656 -0.686 2.222 Er
2.656 5.203 5.123 Er
0.000 6.363 1.148 Er
0.000 -1.846 6.197 Er
2.656 2.259 3.672 Er
2.656 2.292 0.391 Er
2.656 -0.571 5.413 Tm
2.656 5.088 1.932 Tm
0.000 0.000 0.000 Mg
```

Record 3
## Mg12CdGa6 (PBE)

Data for Mg12CdGa6 after structural relaxation.

Values from the calculation:
Its calculated density is 3.314 g/cm3. The formation energy is -1.6 kJ/mol of atoms. The value obtained for the total energy is -38.52 eV/cell.

Structure (POSCAR):
```
Mg12CdGa6
1.0
7.570 0.023 -2.383
-3.255 6.835 -2.383
0.015 0.023 7.936
Cd Mg Ga
1 12 6
Cartesian
0.000 0.000 0.000 Cd
2.901 3.329 -1.073 Mg
2.583 6.130 -2.506 Mg
1.429 3.552 4.244 Mg
-1.058 4.982 4.960 Mg
-0.496 4.056 1.989 Mg
4.826 2.825 1.181 Mg
3.065 1.308 3.090 Mg
1.747 0.751 5.676 Mg
-1.893 5.679 -0.049 Mg
1.265 5.573 0.081 Mg
6.223 1.202 3.220 Mg
5.388 1.900 -1.789 Mg
1.080 6.256 2.906 Ga
4.300 5.499 0.152 Ga
4.333 3.681 4.054 Ga
0.030 1.382 3.019 Ga
-0.003 3.200 -0.883 Ga
3.250 0.625 0.264 Ga
```

Record 4
## Ac4MgIn2 (PBE)

Data for Ac4MgIn2 after structural relaxation.

Values from the calculation:
Its calculated density is 7.281 g/cm3. The formation energy is -10.9 kJ/mol of atoms. The value obtained for the total energy is -48.59 eV/cell. For the offset from the most stable computed form, the calculation gives 110 meV/atom.

Structure (POSCAR):
```
Ac4MgIn2
1.0
-5.001 2.047 -5.689
2.696 -5.344 -4.293
-3.110 -7.112 6.900
Ac Mg In
8 2 4
Cartesian
0.498 -7.252 -0.140 Ac
-0.708 -10.035 2.567 Ac
-4.707 -0.375 -5.649 Ac
-3.364 -7.327 0.621 Ac
-5.913 -3.157 -2.942 Ac
-2.051 -3.082 -3.703 Ac
-3.370 -0.468 -1.602 Ac
-2.045 -9.941 -1.480 Ac
0.257 -5.265 -2.765 Mg
-5.672 -5.144 -0.318 Mg
-2.892 -3.828 -0.211 In
-3.223 -7.470 4.115 In
-2.523 -6.581 -2.871 In
-2.192 -2.939 -7.197 In
```

Record 5
## ScZnTe2 (PBE)

Data for ScZnTe2 after structural relaxation.

Values from the calculation:
Its calculated density is 5.310 g/cm3. The value obtained for the total energy is -16.58 eV/cell. Its raw formation energy is -0.673 eV/atom.

Structure (POSCAR):
```
ScZnTe2
1.0
-4.102 -6.653 0.753
-1.813 -5.168 5.627
0.614 7.348 -2.700
Te Sc Zn
2 1 1
Cartesian
-3.261 -2.683 0.662 Te
-0.121 -0.242 0.131 Te
-1.685 -1.079 2.634 Sc
-3.193 -6.380 3.444 Zn
```

Record 6
## Na4AlCd4 (PBE)

Data for Na4AlCd4 after structural relaxation.

Values from the calculation:
Its calculated density is 3.918 g/cm3. The formation energy is 9.1 kJ/mol of atoms. The value obtained for the total energy is -11.83 eV/cell.

Structure (POSCAR):
```
Na4AlCd4
1.0
-1.957 5.535 -1.213
0.749 -1.273 7.794
5.094 2.281 2.189
Al Cd Na
1 4 4
Cartesian
0.000 0.000 0.000 Al
5.471 1.510 7.150 Cd
1.539 6.431 2.962 Cd
-0.385 1.637 2.364 Cd
1.146 3.506 5.063 Cd
3.440 4.048 7.308 Na
2.376 3.359 2.291 Na
2.251 1.087 6.938 Na
-0.295 4.592 1.003 Na
```

Record 7
## Ba2ZrZnBr (PBE)

Data for Ba2ZrZnBr after structural relaxation.

Values from the calculation:
Its calculated density is 3.895 g/cm3. The value obtained for the total energy is -15.35 eV/cell. Its raw formation energy is -0.001 eV/atom.

Structure (POSCAR):
```
Ba2ZrZnBr
1.0
-2.252 0.772 -6.094
-4.201 -2.604 1.222
-2.931 5.569 1.789
Zn Br Zr Ba
1 1 1 2
Cartesian
0.000 0.000 0.000 Zn
-4.692 1.869 -1.542 Br
-2.101 -1.302 0.611 Zr
-1.126 0.386 -3.047 Ba
-1.465 2.784 0.894 Ba
```

Record 8
## Pm3Nd3Sm2 (PBE)

Data for Pm3Nd3Sm2 after structural relaxation.

Values from the calculation:
Its calculated density is 6.952 g/cm3. The formation energy is 3.1 kJ/mol of atoms. The value obtained for the total energy is -75.47 eV/cell. For the offset from the most stable computed form, the calculation gives 0 meV/atom.

Structure (POSCAR):
```
Pm3Nd3Sm2
1.0
-2.372 5.557 -2.078
-5.493 -2.052 0.786
0.040 5.187 13.824
Nd Sm Pm
6 4 6
Cartesian
-4.902 1.610 3.353 Nd
-2.934 5.783 5.723 Nd
-4.871 5.502 13.719 Nd
-2.954 3.190 -1.187 Nd
-4.891 2.910 6.809 Nd
-2.923 7.083 9.179 Nd
-6.064 7.639 10.947 Sm
-1.761 1.053 1.585 Sm
-1.751 2.347 5.034 Sm
-6.074 6.345 7.497 Sm
-4.882 4.214 10.261 Pm
-2.943 4.479 2.271 Pm
-1.741 3.654 8.493 Pm
-6.084 5.038 4.039 Pm
-6.094 3.743 0.587 Pm
-1.731 4.949 11.944 Pm
```

Record 9
## BaLa2TlRh (PBE)

Data for BaLa2TlRh after structural relaxation.

Values from the calculation:
Its calculated density is 6.935 g/cm3. The formation energy is -30.4 kJ/mol of atoms. The value obtained for the total energy is -23.07 eV/cell. For the offset from the most stable computed form, the calculation gives 0 meV/atom.

Structure (POSCAR):
```
BaLa2TlRh
1.0
-4.394 3.338 -0.822
-1.700 -3.269 -4.188
-2.977 -3.037 3.580
La Rh Ba Tl
2 1 1 1
Cartesian
-2.197 1.669 -0.411 La
-0.850 -1.635 -2.094 La
0.000 0.000 0.000 Rh
-4.535 -1.484 -0.715 Ba
-1.488 -1.519 1.790 Tl
```

Record 10
## Tb3PmSm2Bi6 (PBE)

Data for Tb3PmSm2Bi6 after structural relaxation.

Values from the calculation:
Its calculated density is 9.172 g/cm3. The formation energy is -87.3 kJ/mol of atoms. The value obtained for the total energy is -62.22 eV/cell.

Structure (POSCAR):
```
Tb3PmSm2Bi6
1.0
4.529 0.000 0.000
0.000 9.050 0.331
-2.265 -2.599 9.518
Bi Pm Tb Sm
6 1 3 2
Cartesian
0.000 6.752 0.263 Bi
2.265 -0.142 3.225 Bi
0.000 6.593 6.623 Bi
2.265 -0.301 9.585 Bi
0.000 2.014 6.501 Bi
2.265 4.437 3.347 Bi
2.265 0.000 0.000 Pm
2.265 -0.221 6.404 Tb
2.265 4.525 0.165 Tb
0.000 6.672 3.445 Tb
0.000 2.148 3.285 Sm
2.265 4.303 6.563 Sm
```

Record 11
## TbNdDy3Tm (PBE)

Data for TbNdDy3Tm after structural relaxation.

Values from the calculation:
Its calculated density is 8.295 g/cm3. The formation energy is 12.3 kJ/mol of atoms. The value obtained for the total energy is -53.82 eV/cell.

Structure (POSCAR):
```
TbNdDy3Tm
1.0
-5.088 2.388 -1.163
0.804 -6.137 -1.955
-4.061 -3.743 10.084
Dy Nd Tm Tb
6 2 2 2
Cartesian
-5.067 -2.301 3.283 Dy
-3.535 -4.196 6.851 Dy
-4.811 -3.297 0.116 Dy
-3.270 -0.644 -1.179 Dy
-3.278 -5.192 3.684 Dy
-5.076 -6.848 8.146 Dy
-2.663 -5.615 0.121 Nd
-5.683 -1.878 6.846 Nd
-6.732 -4.857 5.318 Tm
-1.614 -2.636 1.649 Tm
-2.031 -1.872 5.042 Tb
0.000 0.000 0.000 Tb
```

Record 12
## MnCoNi2 (PBE)

Data for MnCoNi2 after structural relaxation.

Values from the calculation:
Its calculated density is 8.459 g/cm3. The formation energy is 1.5 kJ/mol of atoms. The value obtained for the total energy is -27.77 eV/cell.

Structure (POSCAR):
```
MnCoNi2
1.0
4.107 0.000 0.000
0.000 2.531 -0.002
0.000 0.005 4.367
Ni Co Mn
2 1 1
Cartesian
2.054 0.319 1.307 Ni
0.000 0.321 4.171 Ni
0.000 1.582 1.950 Co
2.054 1.586 3.488 Mn
```